# 1
Compound: Fe2SbAu
Source: Alexandria via LeMat-Bulk
Functional: GGA-PBEsol
Structure: optimized geometry

CIF file:
```
data_Fe2SbAu
_chemical_formula_sum 'Fe2 Sb1 Au1'
_cell_length_a 3.142
_cell_length_b 4.196
_cell_length_c 4.709
_cell_angle_alpha 90.00
_cell_angle_beta 96.70
_cell_angle_gamma 90.00
_space_group_name_H-M_alt 'P 1 m 1'
_space_group_IT_number 6
_space_group_name_Hall 'P -2y'
loop_
_atom_site_label
_atom_site_fract_x
_atom_site_fract_y
_atom_site_fract_z
Fe1 0.000 0.000 0.000
Fe2 0.048 0.500 0.290
Sb1 0.583 0.000 0.449
Au1 0.464 0.500 0.835
```

crystal system: monoclinic
raw formation energy: 0.230 eV/atom
size of the total moment: 4.68 μB per formula unit
DFT total energy: -6.372 eV/atom

---

# 2
Compound: KRb2FeF6
Source: Alexandria via LeMat-Bulk
Functional: GGA-PBEsol
Structure: optimized geometry

CIF file:
```
data_KRb2FeF6
_chemical_formula_sum 'K4 Rb8 Fe4 F24'
_cell_length_a 8.671
_cell_length_b 8.671
_cell_length_c 8.671
_cell_angle_alpha 90.00
_cell_angle_beta 90.00
_cell_angle_gamma 90.00
_space_group_name_H-M_alt 'F m -3 m'
_space_group_IT_number 225
_space_group_name_Hall '-F 4 2 3'
loop_
_atom_site_label
_atom_site_fract_x
_atom_site_fract_y
_atom_site_fract_z
K1 0.000 0.000 0.000
Rb1 0.250 0.250 0.250
Fe1 0.000 0.000 0.500
F1 0.000 0.000 0.286
```

crystal system: cubic
raw formation energy: -2.514 eV/atom
size of the total moment: 1.00 μB per formula unit
DFT total energy: -4.886 eV/atom

---

# 3
Compound: SrTeIr
Source: Alexandria via LeMat-Bulk
Functional: GGA-PBEsol
Structure: optimized geometry

CIF file:
```
data_SrTeIr
_chemical_formula_sum 'Sr4 Te4 Ir4'
_cell_length_a 6.698
_cell_length_b 6.698
_cell_length_c 6.698
_cell_angle_alpha 90.00
_cell_angle_beta 90.00
_cell_angle_gamma 90.00
_space_group_name_H-M_alt 'F -4 3 m'
_space_group_IT_number 216
_space_group_name_Hall 'F -4 2 3'
loop_
_atom_site_label
_atom_site_fract_x
_atom_site_fract_y
_atom_site_fract_z
Sr1 0.000 0.000 0.000
Te1 0.000 0.000 0.500
Ir1 0.250 0.250 0.250
```

crystal system: cubic
raw formation energy: -0.286 eV/atom
size of the total moment: 0.00 μB per formula unit
distance to the lowest polymorph of the same formula: 336 meV/atom
DFT total energy: -5.350 eV/atom